Density functional theory data (PBE-GGA) for crystalline ZnIn2Re at its relaxed geometry. Values from VASP.

The structure in Quantum ESPRESSO input format:
```
&SYSTEM
  ibrav = 0, nat = 4, ntyp = 3
/
ATOMIC_SPECIES
Zn 65.41 Zn.upf
In 114.82 In.upf
Re 186.21 Re.upf
CELL_PARAMETERS angstrom
4.9958 -1.4411 0.0000
4.9958 1.4411 0.0000
-0.5830 0.0000 5.1540
ATOMIC_POSITIONS crystal
Zn 0.0000 0.0000 0.0000
In 0.2387 0.2387 0.7437
In 0.7613 0.7613 0.2563
Re 0.5000 0.5000 0.5000
```

Mass density = 10.77 g cm⁻³
Energy of formation from the pure elements = 0.50 eV/atom
Energy = -4.296 eV per atom
Symmetry = C2/m (12)



Density functional theory data (PBE-GGA) for crystalline CaMoN3 at its relaxed geometry. Values from VASP.

The structure in Quantum ESPRESSO input format:
```
&SYSTEM
  ibrav = 0, nat = 10, ntyp = 3
/
ATOMIC_SPECIES
Ca 40.08 Ca.upf
Mo 95.94 Mo.upf
N 14.01 N.upf
CELL_PARAMETERS angstrom
3.3588 0.0000 0.0000
0.1291 5.7748 0.0000
1.5455 1.7968 6.3151
ATOMIC_POSITIONS crystal
Ca 0.1467 0.3426 0.2503
Ca 0.8533 0.6574 0.7497
Mo 0.3270 0.1408 0.8294
Mo 0.6730 0.8592 0.1706
N 0.2392 0.7698 0.0251
N 0.3964 0.9635 0.5980
N 0.4416 0.4325 0.5935
N 0.5584 0.5675 0.4065
N 0.6036 0.0365 0.4020
N 0.7608 0.2302 0.9749
```

Mass density = 4.83 g cm⁻³
E_form (uncorrected) = -0.506 eV/atom
Energy = -8.068 eV per atom
Symmetry = P-1 (2)



Density functional theory data (PBE-GGA) for crystalline TiAl2VHg at its relaxed geometry. Values from VASP.

The structure in Quantum ESPRESSO input format:
```
&SYSTEM
  ibrav = 0, nat = 5, ntyp = 4
/
ATOMIC_SPECIES
Ti 47.87 Ti.upf
Al 26.98 Al.upf
V 50.94 V.upf
Hg 200.59 Hg.upf
CELL_PARAMETERS angstrom
5.0600 0.0000 0.0000
0.0000 5.0600 0.0000
0.0000 0.0000 4.2850
ATOMIC_POSITIONS crystal
Ti 0.0000 0.0000 0.0000
Al 0.0000 0.5000 0.0000
Al 0.5000 0.0000 0.0000
V 0.0000 0.0000 0.5000
Hg 0.5000 0.5000 0.5000
```

Mass density = 5.35 g cm⁻³
Energy of formation from the pure elements = 0.85 eV/atom
Energy = -4.108 eV per atom
Symmetry = P4/mmm (123)



Density functional theory data (PBE-GGA) for crystalline CaGe2Rh at its relaxed geometry. Values from VASP.

The structure in Quantum ESPRESSO input format:
```
&SYSTEM
  ibrav = 0, nat = 4, ntyp = 3
/
ATOMIC_SPECIES
Ca 40.08 Ca.upf
Ge 72.64 Ge.upf
Rh 102.91 Rh.upf
CELL_PARAMETERS angstrom
2.0965 1.2104 5.1930
-2.0965 1.2104 5.1930
0.0000 -2.4208 5.1930
ATOMIC_POSITIONS crystal
Ca 0.0000 0.0000 0.0000
Ge 0.2176 0.2176 0.2176
Ge 0.7824 0.7824 0.7824
Rh 0.5000 0.5000 0.5000
```

Mass density = 6.05 g cm⁻³
Energy of formation from the pure elements = -0.59 eV/atom
Energy = -5.239 eV per atom
Symmetry = R-3m (166)



Density functional theory data (PBE-GGA) for crystalline AuSeCl at its relaxed geometry. Values from VASP.

The structure in Quantum ESPRESSO input format:
```
&SYSTEM
  ibrav = 0, nat = 3, ntyp = 3
/
ATOMIC_SPECIES
Au 196.97 Au.upf
Se 78.96 Se.upf
Cl 35.45 Cl.upf
CELL_PARAMETERS angstrom
-1.8937 1.8937 5.4166
1.8937 -1.8937 5.4166
1.8937 1.8937 -5.4166
ATOMIC_POSITIONS crystal
Au 0.0000 0.0000 0.0000
Se 0.4704 0.4704 0.0000
Cl 0.2516 0.2516 0.0000
```

Mass density = 6.65 g cm⁻³
E_form (uncorrected) = 0.067 eV/atom
Energy = -2.803 eV per atom
Symmetry = I4mm (107)



Density functional theory data (PBE-GGA) for crystalline YZnPt4 at its relaxed geometry. Values from VASP.

The structure in Quantum ESPRESSO input format:
```
&SYSTEM
  ibrav = 0, nat = 12, ntyp = 3
/
ATOMIC_SPECIES
Y 88.91 Y.upf
Zn 65.41 Zn.upf
Pt 195.08 Pt.upf
CELL_PARAMETERS angstrom
1.9561 -7.9786 0.0000
1.9561 7.9786 0.0000
0.0000 0.0000 6.7278
ATOMIC_POSITIONS crystal
Y 0.1045 0.8955 0.7500
Y 0.8955 0.1045 0.2500
Zn 0.2353 0.7647 0.2500
Zn 0.7647 0.2353 0.7500
Pt 0.0735 0.9265 0.2500
Pt 0.3273 0.6727 0.5448
Pt 0.3273 0.6727 0.9552
Pt 0.5000 0.5000 0.0000
Pt 0.5000 0.5000 0.5000
Pt 0.6727 0.3273 0.0448
Pt 0.6727 0.3273 0.4552
Pt 0.9265 0.0735 0.7500
```

Mass density = 14.78 g cm⁻³
Energy of formation from the pure elements = -0.73 eV/atom
Energy = -6.047 eV per atom
Symmetry = Cmcm (63)



Density functional theory data (PBE-GGA) for crystalline Ni9Sb2Mo at its relaxed geometry. Values from VASP.

The structure in Quantum ESPRESSO input format:
```
&SYSTEM
  ibrav = 0, nat = 12, ntyp = 3
/
ATOMIC_SPECIES
Ni 58.69 Ni.upf
Sb 121.76 Sb.upf
Mo 95.94 Mo.upf
CELL_PARAMETERS angstrom
3.6965 0.0000 0.0000
0.0000 3.6965 0.0000
0.0000 0.0000 11.1471
ATOMIC_POSITIONS crystal
Ni 0.0000 0.0000 0.0000
Ni 0.0000 0.0000 0.3284
Ni 0.0000 0.0000 0.6716
Ni 0.0000 0.5000 0.1566
Ni 0.0000 0.5000 0.5000
Ni 0.0000 0.5000 0.8434
Ni 0.5000 0.0000 0.1566
Ni 0.5000 0.0000 0.5000
Ni 0.5000 0.0000 0.8434
Sb 0.5000 0.5000 0.3321
Sb 0.5000 0.5000 0.6679
Mo 0.5000 0.5000 0.0000
```

Mass density = 9.46 g cm⁻³
E_form (uncorrected) = -0.083 eV/atom
Energy = -6.009 eV per atom
Symmetry = P4/mmm (123)



Density functional theory data (PBE-GGA) for crystalline Ac2Bi3Rh4 at its relaxed geometry. Values from VASP.

The structure in Quantum ESPRESSO input format:
```
&SYSTEM
  ibrav = 0, nat = 18, ntyp = 3
/
ATOMIC_SPECIES
Ac 227.00 Ac.upf
Bi 208.98 Bi.upf
Rh 102.91 Rh.upf
CELL_PARAMETERS angstrom
3.2199 -8.6140 0.0000
3.2199 8.6140 0.0000
0.0000 0.0000 7.5743
ATOMIC_POSITIONS crystal
Ac 0.1018 0.8982 0.9177
Ac 0.3982 0.6018 0.4177
Ac 0.6018 0.3982 0.5823
Ac 0.8982 0.1018 0.0823
Bi 0.0000 0.0000 0.5000
Bi 0.0136 0.4864 0.7500
Bi 0.4864 0.0136 0.2500
Bi 0.5000 0.5000 0.0000
Bi 0.5136 0.9864 0.7500
Bi 0.9864 0.5136 0.2500
Rh 0.1656 0.8344 0.5184
Rh 0.1769 0.3231 0.7500
Rh 0.3231 0.1769 0.2500
Rh 0.3344 0.6656 0.0184
Rh 0.6656 0.3344 0.9816
Rh 0.6769 0.8231 0.7500
Rh 0.8231 0.6769 0.2500
Rh 0.8344 0.1656 0.4816
```

Mass density = 11.80 g cm⁻³
Energy of formation from the pure elements = -0.52 eV/atom
Energy = -5.995 eV per atom
Symmetry = Cmce (64)



Density functional theory data (PBE-GGA) for crystalline TmNiPt3 at its relaxed geometry. Values from VASP.

The structure in Quantum ESPRESSO input format:
```
&SYSTEM
  ibrav = 0, nat = 10, ntyp = 3
/
ATOMIC_SPECIES
Tm 168.93 Tm.upf
Ni 58.69 Ni.upf
Pt 195.08 Pt.upf
CELL_PARAMETERS angstrom
6.3342 0.0000 0.0000
-3.1671 5.4856 0.0000
0.0000 0.0000 5.0864
ATOMIC_POSITIONS crystal
Tm 0.3333 0.6667 0.2500
Tm 0.6667 0.3333 0.7500
Ni 0.0000 0.0000 0.0000
Ni 0.0000 0.0000 0.5000
Pt 0.1940 0.3880 0.7500
Pt 0.1940 0.8060 0.7500
Pt 0.3880 0.1940 0.2500
Pt 0.6120 0.8060 0.7500
Pt 0.8060 0.1940 0.2500
Pt 0.8060 0.6120 0.2500
```

Mass density = 15.28 g cm⁻³
Energy of formation from the pure elements = -0.54 eV/atom
Energy = -6.214 eV per atom
Symmetry = P6_3/mmc (194)



Density functional theory data (PBE-GGA) for crystalline UCoGe2 at its relaxed geometry. Values from VASP.

The structure in Quantum ESPRESSO input format:
```
&SYSTEM
  ibrav = 0, nat = 4, ntyp = 3
/
ATOMIC_SPECIES
U 238.03 U.upf
Co 58.93 Co.upf
Ge 72.64 Ge.upf
CELL_PARAMETERS angstrom
4.5960 -2.0718 0.0000
4.5960 2.0718 0.0000
-1.2954 0.0000 3.8618
ATOMIC_POSITIONS crystal
U 0.0000 0.0000 0.0000
Co 0.2265 0.2265 0.7895
Ge 0.3584 0.3584 0.3758
Ge 0.6459 0.6459 0.5516
```

Mass density = 9.99 g cm⁻³
Energy of formation from the pure elements = -0.16 eV/atom
Energy = -7.066 eV per atom
Symmetry = Cm (8)



Density functional theory data (PBE-GGA) for crystalline Cs3ErNp2Se6 at its relaxed geometry. Values from VASP.

The structure in Quantum ESPRESSO input format:
```
&SYSTEM
  ibrav = 0, nat = 12, ntyp = 4
/
ATOMIC_SPECIES
Cs 132.91 Cs.upf
Er 167.26 Er.upf
Np 237.00 Np.upf
Se 78.96 Se.upf
CELL_PARAMETERS angstrom
3.7261 -6.4535 0.0000
3.7261 6.4535 0.0000
-2.4847 0.0000 8.3716
ATOMIC_POSITIONS crystal
Cs 0.0000 0.0000 0.0000
Cs 0.3333 0.6667 0.0000
Cs 0.6667 0.3333 0.0000
Er 0.5000 0.5000 0.5000
Np 0.1667 0.8333 0.5000
Np 0.8333 0.1667 0.5000
Se 0.1096 0.4383 0.3149
Se 0.2329 0.2329 0.6851
Se 0.4383 0.1096 0.3149
Se 0.5617 0.8904 0.6851
Se 0.7671 0.7671 0.3149
Se 0.8904 0.5617 0.6851
```

Mass density = 6.24 g cm⁻³
E_form (uncorrected) = -1.380 eV/atom
Energy = -5.873 eV per atom
Symmetry = C2/m (12)



Density functional theory data (PBE-GGA) for crystalline Al3CuH at its relaxed geometry. Values from VASP.

The structure in Quantum ESPRESSO input format:
```
&SYSTEM
  ibrav = 0, nat = 5, ntyp = 3
/
ATOMIC_SPECIES
Al 26.98 Al.upf
Cu 63.55 Cu.upf
H 1.01 H.upf
CELL_PARAMETERS angstrom
3.9765 0.0000 0.0000
0.0000 3.9765 0.0000
0.0000 0.0000 3.9765
ATOMIC_POSITIONS crystal
Al 0.0000 0.0000 0.5000
Al 0.0000 0.5000 0.0000
Al 0.5000 0.0000 0.0000
Cu 0.5000 0.5000 0.5000
H 0.0000 0.0000 0.0000
```

Mass density = 3.84 g cm⁻³
Energy = -3.588 eV per atom
Symmetry = Pm-3m (221)



- What is the formula in the second record?
  CaMoN3



- Which value of energy does entry 3 give?
  -4.108 eV per atom



- Number 11 is which compound?
  Cs3ErNp2Se6